(1)
DFT (PBE) results for an optimized crystal structure of MgGaCuHg.

The structure in POSCAR format:
```
MgGaCuHg
1.0
-1.947 -4.163 0.759
-4.207 -0.277 1.981
-3.678 -1.346 -2.522
Hg Ga Cu Mg
1 1 1 1
direct
0.500 0.500 0.500
0.000 0.000 0.000
0.750 0.750 0.750
0.250 0.250 0.250
```

- Symmetry: F-43m
- Distance to the lowest polymorph of the same formula: 0 meV/atom

---

(2)
DFT (PBE) results for an optimized crystal structure of BeCoNiSn.

The structure in POSCAR format:
```
BeCoNiSn
1.0
0.000 2.915 2.915
2.915 0.000 2.915
2.915 2.915 0.000
Be Co Ni Sn
1 1 1 1
direct
0.750 0.750 0.750
0.500 0.500 0.500
0.250 0.250 0.250
0.000 0.000 0.000
```

- Symmetry: F-43m
- Distance to the lowest polymorph of the same formula: 188 meV/atom

---

(3)
DFT (PBE) results for an optimized crystal structure of ScCd.

The structure in POSCAR format:
```
ScCd
1.0
-1.768 2.400 -1.862
-2.637 -2.282 -0.437
-1.507 1.177 2.949
Cd Sc
1 1
direct
0.000 0.000 0.000
0.500 0.500 0.500
```

- Calculated total energy: -7.83 eV/cell
- Symmetry: Pm-3m

---

(4)
DFT (PBE) results for an optimized crystal structure of SrPaSn.

The structure in POSCAR format:
```
SrPaSn
1.0
0.000 3.794 3.794
3.794 0.000 3.794
3.794 3.794 0.000
Sn Pa Sr
1 1 1
direct
0.750 0.750 0.750
0.000 0.000 0.000
0.500 0.500 0.500
```

- Symmetry: F-43m
- Distance to the lowest polymorph of the same formula: 0 meV/atom

---

(5)
DFT (PBE) results for an optimized crystal structure of NdInNi.

The structure in POSCAR format:
```
NdInNi
1.0
-1.631 -4.706 6.053
-4.315 -0.378 -6.533
2.404 -2.676 -1.433
Nd Ni In
3 3 3
direct
0.334 0.334 0.500
0.666 0.000 0.500
0.000 0.666 0.500
0.333 0.667 0.000
0.000 0.000 0.000
0.667 0.333 0.000
0.333 0.000 0.000
0.000 0.333 0.000
0.667 0.667 0.000
```

- Calculated total energy: -42.28 eV/cell
- Symmetry: P-6m2

---

(6)
DFT (PBE) results for an optimized crystal structure of LiYFeB.

The structure in POSCAR format:
```
LiYFeB
1.0
0.000 2.990 2.990
2.990 0.000 2.990
2.990 2.990 0.000
Fe Y Li B
1 1 1 1
direct
0.750 0.750 0.750
0.500 0.500 0.500
0.250 0.250 0.250
0.000 0.000 0.000
```

- Symmetry: F-43m
- Distance to the lowest polymorph of the same formula: 261 meV/atom